[1]
## YAlCr4 (meta-GGA SCAN)

Data for YAlCr4 at its PBEsol-relaxed geometry.

Results
- Final energy: -17.90 eV/atom
- M_tot: 0.0 Bohr magnetons per cell
- Formation energy from the elements: 292 meV/atom
- SG: No. 216

Unit cell a=4.9475 b=4.9475 c=4.9475 alpha=60.00 beta=60.00 gamma=60.00
Fractional coordinates of all 6 atoms:
Y  0.0000  0.0000  0.0000
Al  0.2500  0.2500  0.2500
Cr  0.1283  0.6239  0.6239
Cr  0.6239  0.1283  0.6239
Cr  0.6239  0.6239  0.1283
Cr  0.6239  0.6239  0.6239

=====

[2]
## Y2AlCr (meta-GGA SCAN)

Data for Y2AlCr at its PBEsol-relaxed geometry.

Results
- Final energy: -20.32 eV/atom
- M_tot: 3.2 Bohr magnetons per cell
- Formation energy from the elements: 139 meV/atom
- SG: No. 166

Unit cell a=9.4681 b=9.4681 c=9.4681 alpha=20.69 beta=20.69 gamma=20.69
Fractional coordinates of all 4 atoms:
Y  0.2459  0.2459  0.2459
Y  0.7541  0.7541  0.7541
Al  0.0000  0.0000  0.0000
Cr  0.5000  0.5000  0.5000

=====

[3]
## YAl2Cr (meta-GGA SCAN)

Data for YAl2Cr at its PBEsol-relaxed geometry.

Results
- Final energy: -15.69 eV/atom
- M_tot: 4.0 Bohr magnetons per cell
- Formation energy from the elements: -253 meV/atom
- SG: No. 123

Unit cell a=4.1786 b=4.1786 c=4.3067 alpha=90.00 beta=90.00 gamma=90.00
Fractional coordinates of all 4 atoms:
Y  0.0000  0.0000  0.0000
Al  0.0000  0.5000  0.5000
Al  0.5000  0.0000  0.5000
Cr  0.5000  0.5000  0.0000

=====

[4]
## Y3AlCr (meta-GGA SCAN)

Data for Y3AlCr at its PBEsol-relaxed geometry.

Results
- Final energy: -21.42 eV/atom
- M_tot: 7.5 Bohr magnetons per cell
- Formation energy from the elements: 513 meV/atom
- SG: No. 221

Unit cell a=5.4349 b=5.4349 c=5.4349 alpha=90.00 beta=90.00 gamma=90.00
Fractional coordinates of all 5 atoms:
Y  0.0000  0.0000  0.5000
Y  0.0000  0.5000  0.0000
Y  0.5000  0.0000  0.0000
Al  0.0000  0.0000  0.0000
Cr  0.5000  0.5000  0.5000

=====

Please write out number 4 again, unchanged.
## Y3AlCr (meta-GGA SCAN)

Data for Y3AlCr at its PBEsol-relaxed geometry.

Results
- Final energy: -21.42 eV/atom
- M_tot: 7.5 Bohr magnetons per cell
- Formation energy from the elements: 513 meV/atom
- SG: No. 221

Unit cell a=5.4349 b=5.4349 c=5.4349 alpha=90.00 beta=90.00 gamma=90.00
Fractional coordinates of all 5 atoms:
Y  0.0000  0.0000  0.5000
Y  0.0000  0.5000  0.0000
Y  0.5000  0.0000  0.0000
Al  0.0000  0.0000  0.0000
Cr  0.5000  0.5000  0.5000

=====

> Among the records above, which one has the highest final energy?

YAl2Cr

=====

Copy entry 1 word for word.
## YAlCr4 (meta-GGA SCAN)

Data for YAlCr4 at its PBEsol-relaxed geometry.

Results
- Final energy: -17.90 eV/atom
- M_tot: 0.0 Bohr magnetons per cell
- Formation energy from the elements: 292 meV/atom
- SG: No. 216

Unit cell a=4.9475 b=4.9475 c=4.9475 alpha=60.00 beta=60.00 gamma=60.00
Fractional coordinates of all 6 atoms:
Y  0.0000  0.0000  0.0000
Al  0.2500  0.2500  0.2500
Cr  0.1283  0.6239  0.6239
Cr  0.6239  0.1283  0.6239
Cr  0.6239  0.6239  0.1283
Cr  0.6239  0.6239  0.6239

=====

> Among the records above, which one has the lowest formation energy from the elements?

YAl2Cr